CaNi2RuF after structural relaxation. Source: Alexandria, functional PBE+U.

Results
Mass density (g/cm³): 5.9
Final energy (eV/cell): -18.13

a = 4.2225 Å, b = 4.3675 Å, c = 4.2225 Å
α = 90.00°, β = 90.00°, γ = 90.00°
With the nearest neighbours (Å) after each atom.
Element x y z (fractional)
Ru  0.5000  0.5000  0.5000  4 Ca 2.99, 8 Ni 3.04
Ca  0.0000  0.5000  0.0000  2 F 2.18
F  0.0000  0.0000  0.0000  4 Ni 2.11, 2 Ca 2.18
Ni  0.0000  0.0000  0.5000  2 F 2.11
Ni  0.5000  0.0000  0.0000  2 F 2.11